Entry 1:
The following is a PBE-GGA calculation of Cs3Tb2PmTe6 after structural relaxation, from Alexandria.

E_tot, eV per atom: -4.351
Raw formation energy, eV per atom: -1.399
Space group: C2/m, No. 12

a b c (Å): 7.962 7.962 9.317
angles (deg): 98.19 98.19 120.00
Element x y z (fractional)
Cs  0.000  0.000  0.000
Cs  0.335  0.665  0.000
Cs  0.665  0.335  0.000
Tb  0.167  0.833  0.500
Tb  0.833  0.167  0.500
Pm  0.500  0.500  0.500
Te  0.098  0.436  0.308
Te  0.225  0.225  0.691
Te  0.436  0.098  0.308
Te  0.564  0.902  0.692
Te  0.775  0.775  0.309
Te  0.902  0.564  0.692

=====

Entry 2:
The following is a PBE-GGA calculation of ZrScGe3 after structural relaxation, from Alexandria.

E_tot, eV per atom: -5.247
Space group: Pm-3m, No. 221

a b c (Å): 4.921 4.921 4.921
angles (deg): 90.00 90.00 90.00
Element x y z (fractional)
Zr  0.000  0.000  0.000
Sc  0.500  0.500  0.500
Ge  0.000  0.500  0.500
Ge  0.500  0.000  0.500
Ge  0.500  0.500  0.000

=====

Entry 3:
The following is a PBE-GGA calculation of SrSI2N after structural relaxation, from Alexandria.

E_tot, eV per atom: -2.592
Raw formation energy, eV per atom: 0.855
Space group: P4/mmm, No. 123

a b c (Å): 6.497 6.497 4.544
angles (deg): 90.00 90.00 90.00
Element x y z (fractional)
Sr  0.000  0.000  0.000
S  0.500  0.500  0.500
I  0.000  0.500  0.000
I  0.500  0.000  0.000
N  0.000  0.000  0.500

=====

Entry 4:
The following is a PBE-GGA calculation of ReAs2Rh after structural relaxation, from Alexandria.

E_tot, eV per atom: -7.075
Space group: Imm2, No. 44

a b c (Å): 3.102 4.213 9.632
angles (deg): 90.00 90.00 90.00
Element x y z (fractional)
Re  0.000  0.000  0.000
Re  0.500  0.500  0.500
As  0.000  0.000  0.509
As  0.000  0.500  0.286
As  0.500  0.000  0.786
As  0.500  0.500  0.009
Rh  0.000  0.500  0.782
Rh  0.500  0.000  0.282

=====

Entry 5:
The following is a PBE-GGA calculation of LiAl2Mo after structural relaxation, from Alexandria.

E_tot, eV per atom: -5.144
Space group: I4/mmm, No. 139

a b c (Å): 3.903 3.903 7.725
angles (deg): 90.00 90.00 90.00
Element x y z (fractional)
Li  0.000  0.000  0.000
Li  0.500  0.500  0.500
Al  0.000  0.500  0.250
Al  0.000  0.500  0.750
Al  0.500  0.000  0.250
Al  0.500  0.000  0.750
Mo  0.000  0.000  0.500
Mo  0.500  0.500  0.000

=====

Entry 6:
The following is a PBE-GGA calculation of Nd12Tl6Ge after structural relaxation, from Alexandria.

E_tot, eV per atom: -4.234
Space group: R-3, No. 148

a b c (Å): 8.540 8.540 8.540
angles (deg): 93.58 93.58 93.58
Element x y z (fractional)
Nd  0.048  0.939  0.696
Nd  0.061  0.304  0.952
Nd  0.171  0.400  0.516
Nd  0.304  0.952  0.061
Nd  0.400  0.516  0.171
Nd  0.484  0.829  0.600
Nd  0.516  0.171  0.400
Nd  0.600  0.484  0.829
Nd  0.696  0.048  0.939
Nd  0.829  0.600  0.484
Nd  0.939  0.696  0.048
Nd  0.952  0.061  0.304
Tl  0.175  0.767  0.362
Tl  0.233  0.638  0.825
Tl  0.362  0.175  0.767
Tl  0.638  0.825  0.233
Tl  0.767  0.362  0.175
Tl  0.825  0.233  0.638
Ge  0.500  0.500  0.500

=====

Entry 7:
The following is a PBE-GGA calculation of TbSmAgRu after structural relaxation, from Alexandria.

E_tot, eV per atom: -5.655
Space group: F-43m, No. 216

a b c (Å): 7.102 7.102 7.102
angles (deg): 90.00 90.00 90.00
Element x y z (fractional)
Tb  0.000  0.000  0.000
Tb  0.000  0.500  0.500
Tb  0.500  0.000  0.500
Tb  0.500  0.500  0.000
Sm  0.000  0.000  0.500
Sm  0.000  0.500  0.000
Sm  0.500  0.000  0.000
Sm  0.500  0.500  0.500
Ag  0.250  0.250  0.250
Ag  0.250  0.750  0.750
Ag  0.750  0.250  0.750
Ag  0.750  0.750  0.250
Ru  0.250  0.250  0.750
Ru  0.250  0.750  0.250
Ru  0.750  0.250  0.250
Ru  0.750  0.750  0.750

=====

Entry 8:
The following is a PBE-GGA calculation of Ac3Bi12Ru5 after structural relaxation, from Alexandria.

E_tot, eV per atom: -5.107
Space group: Ia-3d, No. 230

a b c (Å): 15.070 15.070 15.070
angles (deg): 109.47 109.47 109.47
Element x y z (fractional)
Ac  0.125  0.250  0.375
Ac  0.125  0.375  0.750
Ac  0.250  0.375  0.125
Ac  0.250  0.875  0.625
Ac  0.375  0.125  0.250
Ac  0.375  0.750  0.125
Ac  0.625  0.250  0.875
Ac  0.625  0.875  0.750
Ac  0.750  0.125  0.375
Ac  0.750  0.625  0.875
Ac  0.875  0.625  0.250
Ac  0.875  0.750  0.625
Bi  0.015  0.200  0.092
Bi  0.015  0.315  0.922
Bi  0.078  0.592  0.393
Bi  0.078  0.985  0.685
Bi  0.092  0.015  0.200
Bi  0.092  0.578  0.893
Bi  0.107  0.700  0.685
Bi  0.107  0.908  0.422
Bi  0.185  0.200  0.607
Bi  0.185  0.485  0.578
Bi  0.200  0.092  0.015
Bi  0.200  0.607  0.185
Bi  0.300  0.315  0.893
Bi  0.300  0.485  0.408
Bi  0.315  0.893  0.300
Bi  0.315  0.922  0.015
Bi  0.393  0.078  0.592
Bi  0.393  0.815  0.800
Bi  0.408  0.300  0.485
Bi  0.408  0.607  0.922
Bi  0.422  0.107  0.908
Bi  0.422  0.815  0.515
Bi  0.485  0.408  0.300
Bi  0.485  0.578  0.185
Bi  0.515  0.422  0.815
Bi  0.515  0.592  0.700
Bi  0.578  0.185  0.485
Bi  0.578  0.893  0.092
Bi  0.592  0.393  0.078
Bi  0.592  0.700  0.515
Bi  0.607  0.185  0.200
Bi  0.607  0.922  0.408
Bi  0.685  0.078  0.985
Bi  0.685  0.107  0.700
Bi  0.700  0.515  0.592
Bi  0.700  0.685  0.107
Bi  0.800  0.393  0.815
Bi  0.800  0.908  0.985
Bi  0.815  0.515  0.422
Bi  0.815  0.800  0.393
Bi  0.893  0.092  0.578
Bi  0.893  0.300  0.315
Bi  0.908  0.422  0.107
Bi  0.908  0.985  0.800
Bi  0.922  0.015  0.315
Bi  0.922  0.408  0.607
Bi  0.985  0.685  0.078
Bi  0.985  0.800  0.908
Ru  0.000  0.000  0.000
Ru  0.000  0.000  0.500
Ru  0.000  0.500  0.000
Ru  0.000  0.500  0.500
Ru  0.125  0.750  0.875
Ru  0.125  0.875  0.250
Ru  0.250  0.125  0.875
Ru  0.250  0.625  0.375
Ru  0.375  0.250  0.625
Ru  0.375  0.625  0.750
Ru  0.500  0.000  0.000
Ru  0.500  0.000  0.500
Ru  0.500  0.500  0.000
Ru  0.500  0.500  0.500
Ru  0.625  0.375  0.250
Ru  0.625  0.750  0.375
Ru  0.750  0.375  0.625
Ru  0.750  0.875  0.125
Ru  0.875  0.125  0.750
Ru  0.875  0.250  0.125